Crystalline AlCd2Rh at its relaxed geometry, computed with PBE.

Lattice parameters (Å, degrees): 3.1443 3.1769 7.1829 90.00 90.00 90.00
Atoms (fractional coordinates):
Al 0.0000 0.0000 0.0000
Cd 0.0000 0.0000 0.5806
Cd 0.5000 0.5000 0.2798
Rh 0.5000 0.5000 0.8475

Values from the calculation:
Density of states at the Fermi level   1.91 states/eV/f.u.
Space group   Pmm2
Total magnetic moment   0.0 μB/cell

Crystalline AlCd2Rh at its relaxed geometry, computed with PBE.

Lattice parameters (Å, degrees): 5.1824 5.1824 4.7884 109.46 109.46 36.21
Atoms (fractional coordinates):
Al 0.0000 0.0000 0.0000
Cd 0.2306 0.2306 0.6864
Cd 0.4578 0.4578 0.4463
Rh 0.7032 0.7032 0.1525

Values from the calculation:
Density of states at the Fermi level   1.17 states/eV/f.u.
Space group   Cm
Total magnetic moment   0.0 μB/cell

Crystalline AlCdRh2 at its relaxed geometry, computed with PBE.

Lattice parameters (Å, degrees): 3.0391 3.0406 6.5679 90.00 90.11 90.00
Atoms (fractional coordinates):
Al 0.0000 0.0000 0.0000
Cd 0.0000 0.0000 0.5000
Rh 0.4994 0.5000 0.7812
Rh 0.5006 0.5000 0.2188

Values from the calculation:
Density of states at the Fermi level   1.11 states/eV/f.u.
Space group   P2/m
Total magnetic moment   0.0 μB/cell

Number 1: calculated formation energy -0.321 eV per atom. Number 2: calculated formation energy -0.193 eV per atom. Number 3: calculated formation energy -0.635 eV per atom.